1.
Compound: AgTe
Source: the Alexandria database
Functional: meta-GGA SCAN
Structure: single point on PBEsol structure

Lattice parameters (Å, degrees): 4.2506 4.2506 6.8824 72.01 72.01 60.00
Last column: nearest neighbours and their distance in Å.
Positions (direct):
Te: 0.2735 0.2735 0.1795  4 Ag 2.78-2.82
Te: 0.7265 0.7265 0.8205  4 Ag 2.78-2.82
Ag: 0.1274 0.1274 0.6178  4 Te 2.78-2.82, 3 Ag 2.88
Ag: 0.8726 0.8726 0.3822  4 Te 2.78-2.82, 3 Ag 2.88

For the density, the calculation gives 7.77 g/cm³. For the total energy, the calculation gives -34.284 eV per atom. Its formation energy (no corrections) is 5 kJ/mol of formula units.

=====

2.
Compound: Ag2Te
Source: the Alexandria database
Functional: meta-GGA SCAN
Structure: single point on PBEsol structure

Lattice parameters (Å, degrees): 4.6457 4.6457 4.6457 60.00 60.00 60.00
Last column: nearest neighbours and their distance in Å.
Positions (direct):
Te: 0.0000 0.0000 0.0000  8 Ag 2.84
Ag: 0.7500 0.7500 0.7500  4 Te 2.84
Ag: 0.2500 0.2500 0.2500  4 Te 2.84

For the density, the calculation gives 8.04 g/cm³. For the total energy, the calculation gives -33.359 eV per atom. Its formation energy (no corrections) is -9 kJ/mol of formula units.

=====

3.
Compound: AgTe
Source: the Alexandria database
Functional: meta-GGA SCAN
Structure: single point on PBEsol structure

Lattice parameters (Å, degrees): 4.4004 4.4004 5.7030 90.00 90.00 120.00
Last column: nearest neighbours and their distance in Å.
Positions (direct):
Te: 0.3333 0.6667 0.7500  6 Ag 2.91
Te: 0.6667 0.3333 0.2500  6 Ag 2.91
Ag: 0.0000 0.0000 0.0000  2 Ag 2.85, 6 Te 2.91
Ag: 0.0000 0.0000 0.5000  2 Ag 2.85, 6 Te 2.91

For the density, the calculation gives 8.18 g/cm³. For the total energy, the calculation gives -34.307 eV per atom. Its formation energy (no corrections) is 0 kJ/mol of formula units.

=====

4.
Compound: Ag2Te
Source: the Alexandria database
Functional: meta-GGA SCAN
Structure: single point on PBEsol structure

Lattice parameters (Å, degrees): 4.1905 4.9555 7.0191 90.65 90.00 115.01
Last column: nearest neighbours and their distance in Å.
Positions (direct):
Te: 0.9855 0.9709 0.4838  9 Ag 2.79-3.07
Te: 0.7786 0.5573 0.0417  8 Ag 2.85-3.03
Ag: 0.0768 0.1537 0.9070  4 Te 2.85-3.07, 5 Ag 2.90-2.96
Ag: 0.6766 0.3533 0.6392  7 Ag 2.84-3.11, 4 Te 2.91-2.99
Ag: 0.2731 0.5461 0.3374  5 Te 2.79-3.01, 3 Ag 3.08-3.11
Ag: 0.3760 0.7520 0.7576  7 Ag 2.84-3.08, 4 Te 3.02-3.03

For the density, the calculation gives 8.63 g/cm³. For the total energy, the calculation gives -33.336 eV per atom. Its formation energy (no corrections) is -2 kJ/mol of formula units.

=====

5.
Compound: Ag4Te
Source: the Alexandria database
Functional: meta-GGA SCAN
Structure: single point on PBEsol structure

Lattice parameters (Å, degrees): 2.9532 2.9532 13.1055 90.00 90.00 120.00
Last column: nearest neighbours and their distance in Å.
Positions (direct):
Ag: 0.3333 0.6667 0.2090  7 Ag 2.68-2.95
Ag: 0.6667 0.3333 0.7910  7 Ag 2.68-2.95
Ag: 0.3333 0.6667 0.4135  10 Ag 2.68-2.95
Ag: 0.6667 0.3333 0.5865  10 Ag 2.68-2.95
Te: 0.0000 0.0000 0.0000  6 Te 2.95, 6 Ag 3.23

The calculation puts the energy above the most stable polymorph in this dataset at 248 meV per atom. For the density, the calculation gives 9.38 g/cm³. For the total energy, the calculation gives -32.264 eV per atom. Its formation energy (no corrections) is 135 kJ/mol of formula units.

=====

6.
Compound: AgTe
Source: the Alexandria database
Functional: meta-GGA SCAN
Structure: single point on PBEsol structure

Lattice parameters (Å, degrees): 3.0844 4.2221 7.3488 90.00 90.00 90.00
Last column: nearest neighbours and their distance in Å.
Positions (direct):
Te: 0.0000 0.0000 0.2047  5 Ag 2.88-2.99, 2 Te 3.08
Te: 0.5000 0.5000 0.7953  5 Ag 2.88-2.99, 2 Te 3.08
Ag: 0.0000 0.0000 0.5968  5 Te 2.88-2.99, 6 Ag 2.98-3.08
Ag: 0.5000 0.5000 0.4032  5 Te 2.88-2.99, 6 Ag 2.98-3.08

For the density, the calculation gives 8.17 g/cm³. For the total energy, the calculation gives -34.310 eV per atom. Its formation energy (no corrections) is 0 kJ/mol of formula units.

=====

7.
Compound: AgTe
Source: the Alexandria database
Functional: meta-GGA SCAN
Structure: single point on PBEsol structure

Lattice parameters (Å, degrees): 4.5675 6.1980 7.5209 90.00 90.00 90.00
Last column: nearest neighbours and their distance in Å.
Positions (direct):
Te: 0.7500 0.6009 0.7223  4 Ag 2.73-2.96
Te: 0.2500 0.8991 0.2223  4 Ag 2.73-2.96
Te: 0.2500 0.3991 0.2777  4 Ag 2.73-2.96
Te: 0.7500 0.1009 0.7777  4 Ag 2.73-2.96
Ag: 0.7500 0.4075 0.0800  4 Te 2.73-2.96, 2 Ag 2.82
Ag: 0.2500 0.0925 0.5800  4 Te 2.73-2.96, 2 Ag 2.82
Ag: 0.2500 0.5925 0.9200  4 Te 2.73-2.96, 2 Ag 2.82
Ag: 0.7500 0.9075 0.4200  4 Te 2.73-2.96, 2 Ag 2.82

For the density, the calculation gives 7.35 g/cm³. For the total energy, the calculation gives -34.315 eV per atom. Its formation energy (no corrections) is -1 kJ/mol of formula units.

=====

8.
Compound: Ag2Te
Source: the Alexandria database
Functional: meta-GGA SCAN
Structure: single point on PBEsol structure

Lattice parameters (Å, degrees): 4.4603 4.4603 7.3879 90.00 90.00 112.84
Last column: nearest neighbours and their distance in Å.
Positions (direct):
Te: 0.0000 0.0000 0.0000  8 Ag 2.84-2.88
Te: 0.5000 0.5000 0.5000  8 Ag 2.84-2.88
Ag: 0.1448 0.8552 0.3600  4 Te 2.84-2.88, 3 Ag 2.95-2.99
Ag: 0.3552 0.6448 0.8600  4 Te 2.84-2.88, 3 Ag 2.95-2.99
Ag: 0.6448 0.3552 0.1400  4 Te 2.84-2.88, 3 Ag 2.95-2.99
Ag: 0.8552 0.1448 0.6400  4 Te 2.84-2.88, 3 Ag 2.95-2.99

For the density, the calculation gives 8.42 g/cm³. For the total energy, the calculation gives -33.361 eV per atom. Its formation energy (no corrections) is -9 kJ/mol of formula units.

=====

9.
Compound: AgTe
Source: the Alexandria database
Functional: meta-GGA SCAN
Structure: single point on PBEsol structure

Lattice parameters (Å, degrees): 3.0988 4.2527 7.3368 90.00 102.19 90.00
Last column: nearest neighbours and their distance in Å.
Positions (direct):
Te: 0.0989 0.2500 0.1978  5 Ag 2.88-3.01, 2 Te 3.10
Te: 0.9011 0.7500 0.8022  5 Ag 2.88-3.01, 2 Te 3.10
Ag: 0.2995 0.2500 0.5991  5 Te 2.88-3.01, 6 Ag 2.99-3.10
Ag: 0.7005 0.7500 0.4009  5 Te 2.88-3.01, 6 Ag 2.99-3.10

For the density, the calculation gives 8.27 g/cm³. For the total energy, the calculation gives -34.316 eV per atom. Its formation energy (no corrections) is -1 kJ/mol of formula units.

=====

10.
Compound: Ag2Te
Source: the Alexandria database
Functional: meta-GGA SCAN
Structure: single point on PBEsol structure

Lattice parameters (Å, degrees): 4.0689 4.1027 4.1027 90.00 90.00 90.00
Last column: nearest neighbours and their distance in Å.
Positions (direct):
Te: 0.0000 0.0000 0.0000  8 Ag 2.89
Ag: 0.5000 0.0000 0.5000  4 Te 2.89, 4 Ag 2.90
Ag: 0.5000 0.5000 0.0000  4 Te 2.89, 4 Ag 2.90

For the density, the calculation gives 8.32 g/cm³. For the total energy, the calculation gives -33.268 eV per atom. Its formation energy (no corrections) is 17 kJ/mol of formula units.

=====

11.
Compound: Ag2Te
Source: the Alexandria database
Functional: meta-GGA SCAN
Structure: single point on PBEsol structure

Lattice parameters (Å, degrees): 9.2515 9.2515 9.2515 60.00 60.00 60.00
Last column: nearest neighbours and their distance in Å.
Positions (direct):
Ag: 0.1250 0.1250 0.6250  6 Ag 3.00, 6 Te 3.16
Ag: 0.1250 0.6250 0.1250  6 Ag 3.00, 6 Te 3.16
Ag: 0.6250 0.1250 0.1250  6 Ag 3.00, 6 Te 3.16
Ag: 0.1250 0.1250 0.1250  6 Ag 3.00, 6 Te 3.16
Ag: 0.9793 0.5207 0.5207  4 Te 2.78-2.95, 2 Ag 3.00
Ag: 0.5207 0.9793 0.5207  4 Te 2.78-2.95, 2 Ag 3.00
Ag: 0.5207 0.5207 0.9793  4 Te 2.78-2.95, 2 Ag 3.00
Ag: 0.9793 0.9793 0.5207  4 Te 2.78-2.95, 2 Ag 3.00
Ag: 0.9793 0.5207 0.9793  4 Te 2.78-2.95, 2 Ag 3.00
Ag: 0.5207 0.9793 0.9793  4 Te 2.78-2.95, 2 Ag 3.00
Ag: 0.2707 0.7293 0.7293  4 Te 2.78-2.95, 2 Ag 3.00
Ag: 0.7293 0.2707 0.7293  4 Te 2.78-2.95, 2 Ag 3.00
Ag: 0.7293 0.7293 0.2707  4 Te 2.78-2.95, 2 Ag 3.00
Ag: 0.2707 0.2707 0.7293  4 Te 2.78-2.95, 2 Ag 3.00
Ag: 0.2707 0.7293 0.2707  4 Te 2.78-2.95, 2 Ag 3.00
Ag: 0.7293 0.2707 0.2707  4 Te 2.78-2.95, 2 Ag 3.00
Te: 0.3658 0.3658 0.3658  6 Ag 2.78-2.95
Te: 0.9026 0.3658 0.3658  6 Ag 2.78-2.95
Te: 0.3658 0.9026 0.3658  6 Ag 2.78-2.95
Te: 0.3658 0.3658 0.9026  6 Ag 2.78-2.95
Te: 0.8842 0.8842 0.8842  6 Ag 2.78-2.95
Te: 0.3474 0.8842 0.8842  6 Ag 2.78-2.95
Te: 0.8842 0.3474 0.8842  6 Ag 2.78-2.95
Te: 0.8842 0.8842 0.3474  6 Ag 2.78-2.95

For the density, the calculation gives 8.15 g/cm³. For the total energy, the calculation gives -33.311 eV per atom. Its formation energy (no corrections) is 5 kJ/mol of formula units.

=====

12.
Compound: Ag2Te
Source: the Alexandria database
Functional: meta-GGA SCAN
Structure: single point on PBEsol structure

Lattice parameters (Å, degrees): 4.5864 4.5864 4.5939 60.05 60.05 60.00
Last column: nearest neighbours and their distance in Å.
Positions (direct):
Te: 0.9727 0.9727 0.0818  4 Ag 2.81
Ag: 0.2222 0.2222 0.3333  4 Te 2.81, 4 Ag 2.81
Ag: 0.4717 0.4717 0.5848  4 Ag 2.81

For the density, the calculation gives 8.34 g/cm³. For the total energy, the calculation gives -33.354 eV per atom. Its formation energy (no corrections) is -7 kJ/mol of formula units.

=====

> Which value of formation energy (no corrections) does entry 6 give?

0 kJ/mol of formula units

=====

> Look up the formation energy (no corrections) of the fifth one.

135 kJ/mol of formula units

=====

Repeat the fourth record exactly.
Compound: Ag2Te
Source: the Alexandria database
Functional: meta-GGA SCAN
Structure: single point on PBEsol structure

Lattice parameters (Å, degrees): 4.1905 4.9555 7.0191 90.65 90.00 115.01
Last column: nearest neighbours and their distance in Å.
Positions (direct):
Te: 0.9855 0.9709 0.4838  9 Ag 2.79-3.07
Te: 0.7786 0.5573 0.0417  8 Ag 2.85-3.03
Ag: 0.0768 0.1537 0.9070  4 Te 2.85-3.07, 5 Ag 2.90-2.96
Ag: 0.6766 0.3533 0.6392  7 Ag 2.84-3.11, 4 Te 2.91-2.99
Ag: 0.2731 0.5461 0.3374  5 Te 2.79-3.01, 3 Ag 3.08-3.11
Ag: 0.3760 0.7520 0.7576  7 Ag 2.84-3.08, 4 Te 3.02-3.03

For the density, the calculation gives 8.63 g/cm³. For the total energy, the calculation gives -33.336 eV per atom. Its formation energy (no corrections) is -2 kJ/mol of formula units.